A relaxed NiGe2Pd crystal, computed with PBE-GGA.

abc: 3.424 9.167 3.972
angles: 90.00 90.00 90.00
Atoms (fractional coordinates):
Ni1 0.000 0.671 0.980
Ni2 0.500 0.329 0.480
Ge1 0.500 0.177 0.981
Ge2 0.000 0.513 0.480
Ge3 0.000 0.823 0.481
Ge4 0.500 0.487 0.980
Pd1 0.500 0.904 0.981
Pd2 0.000 0.096 0.481

Calculated values
Formation energy: -0.2157 eV/atom
Symmetry: Pmmn, No. 59
Energy above the lowest structure with this stoichiometry: 61 kJ/mol of formula units

A relaxed BaSiTcSe2 crystal, computed with PBE-GGA.

abc: 4.835 4.835 6.232
angles: 90.00 90.00 90.00
Each line ends with the local moment (μB).
Atoms (fractional coordinates):
Si1 0.500 0.500 0.500  0.33
Ba1 0.000 0.000 0.500  0.08
Se1 0.000 0.500 0.000  -0.04
Se2 0.500 0.000 0.000  -0.04
Tc1 0.000 0.000 0.000  0.15

Calculated values
Symmetry: P4/mmm, No. 123
Formation energy (no corrections): 0.35 eV per atom

A relaxed ErPaTeP crystal, computed with PBE-GGA.

abc: 3.992 3.993 7.709
angles: 90.00 105.01 120.00
Each line ends with the local moment (μB).
Atoms (fractional coordinates):
Er1 0.498 0.147 0.660  0.00
Pa1 0.108 0.952 0.075  0.76
Te1 0.970 0.383 0.369  -0.01
P1 0.301 0.549 0.865  -0.01

Calculated values
Symmetry: R3m, No. 160
Formation energy (no corrections): -1.21 eV per atom

A relaxed ZrSiSbI2 crystal, computed with PBE-GGA.

abc: 5.592 5.592 5.831
angles: 90.00 90.00 90.00
Each line ends with the local moment (μB).
Atoms (fractional coordinates):
I1 0.000 0.500 0.000  -0.01
I2 0.500 0.000 0.000  -0.01
Sb1 0.000 0.000 0.500  -0.10
Si1 0.500 0.500 0.500  0.30
Zr1 0.000 0.000 0.000  0.11

Calculated values
Symmetry: P4/mmm, No. 123
Energy above the lowest structure with this stoichiometry: 0 kJ/mol of formula units
Formation energy (no corrections): 0.46 eV per atom

A relaxed Pr6DyEr2 crystal, computed with PBE-GGA.

abc: 6.291 10.195 10.195
angles: 71.63 84.91 84.91
Atoms (fractional coordinates):
Pr1 0.486 0.688 0.408
Pr2 0.014 0.592 0.312
Pr3 0.514 0.312 0.592
Pr4 0.986 0.408 0.688
Pr5 0.653 0.076 0.356
Pr6 0.847 0.644 0.924
Pr7 0.347 0.924 0.644
Pr8 0.153 0.356 0.076
Pr9 0.319 0.741 0.021
Pr10 0.181 0.979 0.259
Pr11 0.681 0.259 0.979
Pr12 0.819 0.021 0.741
Dy1 0.250 0.101 0.899
Dy2 0.750 0.899 0.101
Er1 0.416 0.565 0.767
Er2 0.084 0.233 0.435
Er3 0.584 0.435 0.233
Er4 0.916 0.767 0.565

Calculated values
Formation energy: 0.0814 eV/atom
Symmetry: C2/c, No. 15
Energy above the lowest structure with this stoichiometry: 0 kJ/mol of formula units

A relaxed YZn3Cu crystal, computed with PBE-GGA.

abc: 4.579 4.579 4.579
angles: 90.00 90.00 90.00
Atoms (fractional coordinates):
Y1 0.500 0.500 0.500
Zn1 0.000 0.500 0.000
Zn2 0.000 0.000 0.500
Zn3 0.500 0.000 0.000
Cu1 0.000 0.000 0.000

Calculated values
Formation energy: -0.0695 eV/atom
Symmetry: Pm-3m, No. 221
Energy above the lowest structure with this stoichiometry: 103 kJ/mol of formula units

A relaxed Be2AgTe crystal, computed with PBE-GGA.

abc: 3.189 3.189 6.387
angles: 90.00 90.00 90.00
Atoms (fractional coordinates):
Be1 0.000 0.000 0.930
Be2 0.000 0.000 0.570
Te1 0.500 0.500 0.250
Ag1 0.500 0.500 0.750

Calculated values
Symmetry: P4/mmm, No. 123
Formation energy (no corrections): 0.57 eV per atom

A relaxed KTa2Mo crystal, computed with PBE-GGA.

abc: 3.369 4.814 4.814
angles: 90.00 90.00 90.00
Atoms (fractional coordinates):
K1 0.500 0.500 0.000
Mo1 0.500 0.000 0.500
Ta1 0.000 0.000 0.000
Ta2 0.000 0.500 0.500

Calculated values
Formation energy: 1.5557 eV/atom
Symmetry: P4/mmm, No. 123
Energy above the lowest structure with this stoichiometry: 376 kJ/mol of formula units

no.,DOS(E_F) (states/eV per atom)
1,0.464
2,1.103
3,1.067
4,0.858
5,1.401
6,0.450
7,0.349
8,1.151